Below is a relaxed structure of NiIr8Ru2, with properties calculated at the PBE level.

Output
* volume: 15.005 Å³ per atom
* ΔE_f: 210 kJ/mol of formula units
* total magnetization: 0.00 μB/cell
* raw total energy: -93.04 eV per cell
* mass density: 18.09 g cm⁻³

Lattice parameters (Å, degrees): 3.820 7.600 7.100 122.36 105.61 90.00
Fractional coordinates of all 11 atoms:
Ni  0.500  0.000  0.000
Ir  0.662  0.911  0.324
Ir  0.338  0.587  0.676
Ir  0.176  0.176  0.351
Ir  0.000  0.244  0.000
Ir  0.824  0.824  0.649
Ir  0.662  0.413  0.324
Ir  0.338  0.089  0.676
Ir  0.000  0.756  0.000
Ru  0.164  0.664  0.329
Ru  0.836  0.336  0.671

---

Below is a relaxed structure of ThHgGe, with properties calculated at the PBE level.

Output
* volume: 25.380 Å³ per atom
* ΔE_f: -120 kJ/mol of formula units
* total magnetization: 0.00 μB/cell
* raw total energy: -27.17 eV per cell
* mass density: 11.02 g cm⁻³

Lattice parameters (Å, degrees): 4.207 4.181 8.908 103.57 90.00 90.00
Fractional coordinates of all 6 atoms:
Th  0.250  0.905  0.811
Th  0.750  0.095  0.189
Hg  0.750  0.283  0.567
Hg  0.250  0.717  0.433
Ge  0.250  0.553  0.105
Ge  0.750  0.447  0.895

---

Q: What is the volume in the second record?
A: 25.380 Å³ per atom

---

Q: Among the records above, which one has the lowest raw total energy?
A: NiIr8Ru2